1.
Entry from the Alexandria database: LaScTl2 after structural relaxation (GGA-PBEsol).

* V: 26.21 A^3/atom
* energy relative to the elements: -33.1 kJ/mol of atoms
* N(E_F): 4.029 states/eV/f.u.
* total magnetization: 0.31 μB/f.u.

```
data_LaScTl2
_chemical_formula_sum 'La1 Sc1 Tl2'
_space_group_name_H-M_alt 'P 1'
_space_group_IT_number 1
_space_group_name_Hall 'P 1'
_cell_length_a 4.4657
_cell_length_b 4.8450
_cell_length_c 4.8450
_cell_angle_alpha 90.00
_cell_angle_beta 90.00
_cell_angle_gamma 90.00
loop_
_atom_site_label
_atom_site_fract_x
_atom_site_fract_y
_atom_site_fract_z
Tl1 0.0000 0.0000 0.5000
La1 0.5000 0.5000 0.5000
Tl2 0.0000 0.5000 0.0000
Sc1 0.5000 0.0000 0.0000
```



2.
Entry from the Alexandria database: MgBeAs3 after structural relaxation (GGA-PBEsol).

* V: 22.78 A^3/atom
* energy relative to the elements: 111.5 kJ/mol of atoms
* N(E_F): 3.206 states/eV/f.u.
* total magnetization: 0.00 μB/f.u.

```
data_MgBeAs3
_chemical_formula_sum 'Mg1 Be1 As3'
_space_group_name_H-M_alt 'P 1'
_space_group_IT_number 1
_space_group_name_Hall 'P 1'
_cell_length_a 4.8476
_cell_length_b 4.8476
_cell_length_c 4.8476
_cell_angle_alpha 90.00
_cell_angle_beta 90.00
_cell_angle_gamma 90.00
loop_
_atom_site_label
_atom_site_fract_x
_atom_site_fract_y
_atom_site_fract_z
As1 0.0000 0.0000 0.5000
Mg1 0.0000 0.0000 0.0000
As2 0.5000 0.0000 0.0000
As3 0.0000 0.5000 0.0000
Be1 0.5000 0.5000 0.5000
```



3.
Entry from the Alexandria database: YRuPt2 after structural relaxation (GGA-PBEsol).

* V: 16.86 A^3/atom
* energy relative to the elements: -22.9 kJ/mol of atoms
* N(E_F): 4.788 states/eV/f.u.
* total magnetization: 1.26 μB/f.u.

```
data_YRuPt2
_chemical_formula_sum 'Y1 Ru1 Pt2'
_space_group_name_H-M_alt 'P 1'
_space_group_IT_number 1
_space_group_name_Hall 'P 1'
_cell_length_a 4.5688
_cell_length_b 4.5688
_cell_length_c 4.5688
_cell_angle_alpha 60.00
_cell_angle_beta 60.00
_cell_angle_gamma 60.00
loop_
_atom_site_label
_atom_site_fract_x
_atom_site_fract_y
_atom_site_fract_z
Pt1 0.0000 0.0000 0.0000
Ru1 0.5000 0.5000 0.5000
Y1 0.2500 0.2500 0.2500
Pt2 0.7500 0.7500 0.7500
```



4.
Entry from the Alexandria database: ZnGaRh2 after structural relaxation (GGA-PBEsol).

* V: 13.15 A^3/atom
* energy relative to the elements: -60.2 kJ/mol of atoms
* N(E_F): 1.057 states/eV/f.u.
* total magnetization: 0.00 μB/f.u.

```
data_ZnGaRh2
_chemical_formula_sum 'Zn1 Ga1 Rh2'
_space_group_name_H-M_alt 'P 1'
_space_group_IT_number 1
_space_group_name_Hall 'P 1'
_cell_length_a 4.2058
_cell_length_b 4.2058
_cell_length_c 4.2058
_cell_angle_alpha 60.00
_cell_angle_beta 60.00
_cell_angle_gamma 60.00
loop_
_atom_site_label
_atom_site_fract_x
_atom_site_fract_y
_atom_site_fract_z
Rh1 0.7500 0.7500 0.7500
Ga1 0.5000 0.5000 0.5000
Zn1 0.0000 0.0000 0.0000
Rh2 0.2500 0.2500 0.2500
```



5.
Entry from the Alexandria database: Ba2SbRu after structural relaxation (GGA-PBEsol).

* V: 26.88 A^3/atom
* formation energy (no corrections): 0.145 eV per atom
* N(E_F): 5.953 states/eV/f.u.
* total magnetization: 0.56 μB/f.u.

```
data_Ba2SbRu
_chemical_formula_sum 'Ba2 Sb1 Ru1'
_space_group_name_H-M_alt 'P 1'
_space_group_IT_number 1
_space_group_name_Hall 'P 1'
_cell_length_a 5.3372
_cell_length_b 5.3372
_cell_length_c 5.3372
_cell_angle_alpha 60.00
_cell_angle_beta 60.00
_cell_angle_gamma 60.00
loop_
_atom_site_label
_atom_site_fract_x
_atom_site_fract_y
_atom_site_fract_z
Ba1 0.7500 0.7500 0.7500
Sb1 0.2500 0.2500 0.2500
Ru1 0.5000 0.5000 0.5000
Ba2 0.0000 0.0000 0.0000
```



6.
Entry from the Alexandria database: CoPbSe2 after structural relaxation (GGA-PBEsol).

* V: 20.45 A^3/atom
* formation energy (no corrections): 0.399 eV per atom
* N(E_F): 6.188 states/eV/f.u.
* total magnetization: 2.04 μB/f.u.

```
data_CoPbSe2
_chemical_formula_sum 'Co1 Pb1 Se2'
_space_group_name_H-M_alt 'P 1'
_space_group_IT_number 1
_space_group_name_Hall 'P 1'
_cell_length_a 3.4063
_cell_length_b 4.8999
_cell_length_c 4.8999
_cell_angle_alpha 90.00
_cell_angle_beta 90.00
_cell_angle_gamma 90.00
loop_
_atom_site_label
_atom_site_fract_x
_atom_site_fract_y
_atom_site_fract_z
Pb1 0.5000 0.0000 0.0000
Se1 0.0000 0.5000 0.0000
Se2 0.0000 0.0000 0.5000
Co1 0.5000 0.5000 0.5000
```



7.
Entry from the Alexandria database: SiOsPt after structural relaxation (GGA-PBEsol).

* V: 14.26 A^3/atom
* formation energy (no corrections): 0.051 eV per atom
* N(E_F): 1.612 states/eV/f.u.
* total magnetization: 0.00 μB/f.u.
* E above lowest polymorph: 346 meV per atom

```
data_SiOsPt
_chemical_formula_sum 'Si1 Os1 Pt1'
_space_group_name_H-M_alt 'P 1'
_space_group_IT_number 1
_space_group_name_Hall 'P 1'
_cell_length_a 2.7917
_cell_length_b 2.7917
_cell_length_c 6.3437
_cell_angle_alpha 96.84
_cell_angle_beta 96.84
_cell_angle_gamma 117.30
loop_
_atom_site_label
_atom_site_fract_x
_atom_site_fract_y
_atom_site_fract_z
Pt1 0.3181 0.3181 0.6362
Si1 0.6648 0.6648 0.3295
Os1 0.0171 0.0171 0.0342
```



8.
Entry from the Alexandria database: KCoP after structural relaxation (GGA-PBEsol).

* V: 21.78 A^3/atom
* energy relative to the elements: 82.0 kJ/mol of atoms
* N(E_F): 2.638 states/eV/f.u.
* total magnetization: 2.72 μB/f.u.

```
data_KCoP
_chemical_formula_sum 'K1 Co1 P1'
_space_group_name_H-M_alt 'P 1'
_space_group_IT_number 1
_space_group_name_Hall 'P 1'
_cell_length_a 4.5208
_cell_length_b 4.5208
_cell_length_c 4.5208
_cell_angle_alpha 60.00
_cell_angle_beta 60.00
_cell_angle_gamma 60.00
loop_
_atom_site_label
_atom_site_fract_x
_atom_site_fract_y
_atom_site_fract_z
K1 0.5000 0.5000 0.5000
P1 0.2500 0.2500 0.2500
Co1 0.0000 0.0000 0.0000
```